## AcPr2Zn2Pb2 (PBE-GGA)

Data for a relaxed structure of AcPr2Zn2Pb2.

Computed properties:
DFT total energy: -3.629 eV per atom
energy relative to the elements: -0.25 eV/atom
N(E_F): 6.96 states/eV/cell

Cell: 4.856 4.856 10.514 Å, 76.65 76.65 60.00°
Positions (direct):
Pr 0.134 0.134 0.599
Pr 0.866 0.866 0.401
Pb 0.265 0.265 0.204
Pb 0.735 0.735 0.796
Zn 0.427 0.427 0.718
Zn 0.573 0.573 0.282
Ac 0.000 0.000 0.000